## BaCa2MgIr (PBE)

Data for an optimized crystal structure of BaCa2MgIr.

Calculated values
Magnetic moment   0.00 μB per formula unit
Space-group type   P4/mmm, No. 123
DFT formation energy   -81 kJ/mol of formula units
Crystal system   tetragonal

Unit cell a=5.5853 b=5.3531 c=5.5853 alpha=90.00 beta=90.00 gamma=90.00
Closest atoms and distances in Å follow each position.
Fractional coordinates of all 5 atoms:
Ba (0.5000, 0.5000, 0.5000)  8 Ca 3.87, 4 Mg 3.95
Ca (0.5000, 0.0000, 0.0000)  2 Ir 2.79
Ca (0.0000, 0.0000, 0.5000)  2 Ir 2.79
Mg (0.0000, 0.5000, 0.0000)  2 Ir 2.68
Ir (0.0000, 0.0000, 0.0000)  2 Mg 2.68, 4 Ca 2.79